No. 1
First-principles (PBE-GGA) data for an optimized crystal structure of CsTl4As2, as listed in the Alexandria database.

Computed properties:
- Formation energy from the elements: -132 meV/atom
- DOS(E_F): 2.21 states/eV/cell

a = 5.1198 Å, b = 5.0658 Å, c = 9.1541 Å
α = 106.06°, β = 90.00°, γ = 90.00°
Closest atoms and distances in Å follow each position.
Element x y z (fractional)
As 0.5000 0.5698 0.1397  1 As 2.46
As 0.5000 0.4302 0.8603  1 As 2.46
Tl 0.5000 0.8250 0.6501  2 As 3.14
Tl 0.0000 0.6777 0.3553  2 As 3.19
Tl 0.5000 0.1750 0.3499  2 As 3.14
Tl 0.0000 0.3223 0.6447  2 As 3.19
Cs 0.0000 0.0000 0.0000  8 As 3.81, 8 Tl 4.00-4.02

No. 2
First-principles (PBE-GGA) data for an optimized crystal structure of CsTl2As, as listed in the Alexandria database.

Computed properties:
- Formation energy from the elements: -174 meV/atom
- Polymorph energy (0 for the lowest one): 0 meV per atom
- DOS(E_F): 3.71 states/eV/cell

a = 7.2371 Å, b = 8.6141 Å, c = 9.9388 Å
α = 90.00°, β = 90.00°, γ = 108.14°
Closest atoms and distances in Å follow each position.
Element x y z (fractional)
As 0.6325 0.9177 0.3122  4 Tl 2.95-3.00
As 0.1325 0.4177 0.1878  4 Tl 2.95-3.00
As 0.3675 0.0823 0.6878  4 Tl 2.95-3.00
As 0.8675 0.5823 0.8122  4 Tl 2.95-3.00
Tl 0.5896 0.8563 0.6060  2 As 2.97-3.00
Tl 0.4104 0.1437 0.3940  2 As 2.97-3.00
Tl 0.5109 0.5545 0.3231  2 As 2.95-2.98
Tl 0.0896 0.3563 0.8940  2 As 2.97-3.00
Tl 0.4891 0.4455 0.6769  2 As 2.95-2.98
Tl 0.9104 0.6437 0.1060  2 As 2.97-3.00
Tl 0.9891 0.9455 0.8231  2 As 2.95-2.98
Tl 0.0109 0.0545 0.1769  2 As 2.95-2.98
Cs 0.9579 0.2669 0.5320  4 As 3.74-4.08, 7 Tl 3.74-4.06, 1 Cs 3.92
Cs 0.5421 0.2331 0.0320  4 As 3.74-4.08, 7 Tl 3.74-4.06, 1 Cs 3.92
Cs 0.0421 0.7331 0.4680  4 As 3.74-4.08, 7 Tl 3.74-4.06, 1 Cs 3.92
Cs 0.4579 0.7669 0.9680  4 As 3.74-4.08, 7 Tl 3.74-4.06, 1 Cs 3.92

No. 3
First-principles (PBE-GGA) data for an optimized crystal structure of Cs2Tl3As2, as listed in the Alexandria database.

Computed properties:
- Formation energy from the elements: -192 meV/atom
- DOS(E_F): 2.85 states/eV/cell

a = 4.6078 Å, b = 7.5282 Å, c = 8.8350 Å
α = 116.02°, β = 90.00°, γ = 107.82°
Closest atoms and distances in Å follow each position.
Element x y z (fractional)
Tl 0.5000 0.0000 0.0000  4 As 3.33, 2 Tl 3.35
Tl 0.3634 0.7267 0.5732  3 As 2.94-2.98
Tl 0.6366 0.2733 0.4268  3 As 2.94-2.98
Cs 0.1309 0.2618 0.7741  3 As 3.72-3.92, 6 Tl 3.87-4.11
Cs 0.8691 0.7382 0.2259  3 As 3.72-3.92, 6 Tl 3.87-4.11
As 0.8287 0.6573 0.7553  3 Tl 2.94-2.98
As 0.1713 0.3427 0.2447  3 Tl 2.94-2.98

> What is the DOS(E_F) in the first record?

2.21 states/eV/cell

> Which value of formation energy from the elements does entry 3 give?

-192 meV/atom

What did the second record say?
First-principles (PBE-GGA) data for an optimized crystal structure of CsTl2As, as listed in the Alexandria database.

Computed properties:
- Formation energy from the elements: -174 meV/atom
- Polymorph energy (0 for the lowest one): 0 meV per atom
- DOS(E_F): 3.71 states/eV/cell

a = 7.2371 Å, b = 8.6141 Å, c = 9.9388 Å
α = 90.00°, β = 90.00°, γ = 108.14°
Closest atoms and distances in Å follow each position.
Element x y z (fractional)
As 0.6325 0.9177 0.3122  4 Tl 2.95-3.00
As 0.1325 0.4177 0.1878  4 Tl 2.95-3.00
As 0.3675 0.0823 0.6878  4 Tl 2.95-3.00
As 0.8675 0.5823 0.8122  4 Tl 2.95-3.00
Tl 0.5896 0.8563 0.6060  2 As 2.97-3.00
Tl 0.4104 0.1437 0.3940  2 As 2.97-3.00
Tl 0.5109 0.5545 0.3231  2 As 2.95-2.98
Tl 0.0896 0.3563 0.8940  2 As 2.97-3.00
Tl 0.4891 0.4455 0.6769  2 As 2.95-2.98
Tl 0.9104 0.6437 0.1060  2 As 2.97-3.00
Tl 0.9891 0.9455 0.8231  2 As 2.95-2.98
Tl 0.0109 0.0545 0.1769  2 As 2.95-2.98
Cs 0.9579 0.2669 0.5320  4 As 3.74-4.08, 7 Tl 3.74-4.06, 1 Cs 3.92
Cs 0.5421 0.2331 0.0320  4 As 3.74-4.08, 7 Tl 3.74-4.06, 1 Cs 3.92
Cs 0.0421 0.7331 0.4680  4 As 3.74-4.08, 7 Tl 3.74-4.06, 1 Cs 3.92
Cs 0.4579 0.7669 0.9680  4 As 3.74-4.08, 7 Tl 3.74-4.06, 1 Cs 3.92

> Which of these has the lowest DOS(E_F)?

CsTl4As2